Record 1
The following is a DFT calculation (GGA-PBE) of an optimized crystal structure of TbInHgIr. Values from VASP.

The formation enthalpy at 0 K is -0.31 eV per atom. The space group is F-43m, No. 216. Its density of states at the Fermi level is 0.55 states/eV/atom. The uncorrected energy comes out at -4.445 eV/atom.

```
&SYSTEM
  ibrav = 0, nat = 4, ntyp = 4
/
ATOMIC_SPECIES
Ir 192.22 Ir.upf
Tb 158.93 Tb.upf
Hg 200.59 Hg.upf
In 114.82 In.upf
ATOMIC_POSITIONS crystal
Ir 0.000 0.000 0.000
Tb 0.750 0.750 0.750
Hg 0.500 0.500 0.500
In 0.250 0.250 0.250
CELL_PARAMETERS angstrom
-4.673 -0.850 1.311
-1.024 -3.422 3.395
-1.593 1.355 4.462
```



Record 2
The following is a DFT calculation (GGA-PBE) of an optimized crystal structure of Th2IrPd4. Values from VASP.

The formation enthalpy at 0 K is -0.66 eV per atom. The space group is P4_2/mnm, No. 136. Its density of states at the Fermi level is 0.61 states/eV/atom. The uncorrected energy comes out at -7.017 eV/atom.

```
&SYSTEM
  ibrav = 0, nat = 14, ntyp = 3
/
ATOMIC_SPECIES
Th 232.04 Th.upf
Ir 192.22 Ir.upf
Pd 106.42 Pd.upf
ATOMIC_POSITIONS crystal
Th 0.000 0.181 0.819
Th 0.000 0.819 0.181
Th 0.500 0.681 0.681
Th 0.500 0.319 0.319
Ir 0.500 0.000 0.000
Ir 0.000 0.500 0.500
Pd 0.000 0.150 0.420
Pd 0.000 0.850 0.580
Pd 0.500 0.080 0.650
Pd 0.500 0.920 0.350
Pd 0.500 0.350 0.920
Pd 0.500 0.650 0.080
Pd 0.000 0.420 0.150
Pd 0.000 0.580 0.850
CELL_PARAMETERS angstrom
4.931 0.000 0.000
0.000 7.689 0.000
0.000 0.000 7.689
```



Record 3
The following is a DFT calculation (GGA-PBE) of an optimized crystal structure of K2AgI4. Values from VASP.

The calculation puts the energy above the most stable polymorph in this dataset at 48 meV/atom. The space group is I4/mmm, No. 139. Its density of states at the Fermi level is 0.57 states/eV/atom. The uncorrected energy comes out at -2.443 eV/atom.

```
&SYSTEM
  ibrav = 0, nat = 7, ntyp = 3
/
ATOMIC_SPECIES
I 126.90 I.upf
K 39.10 K.upf
Ag 107.87 Ag.upf
ATOMIC_POSITIONS crystal
I 0.833 0.833 0.333
I 0.167 0.167 0.667
I 0.000 0.500 0.000
I 0.500 0.000 0.000
K 0.638 0.638 0.724
K 0.362 0.362 0.276
Ag 0.000 0.000 0.000
CELL_PARAMETERS angstrom
5.747 0.000 0.000
0.000 5.747 0.000
2.873 2.873 9.028
```



Record 4
The following is a DFT calculation (GGA-PBE) of an optimized crystal structure of Ga2AgPb2. Values from VASP.

The calculation puts the energy above the most stable polymorph in this dataset at 40 meV/atom. The formation enthalpy at 0 K is 0.10 eV per atom. The space group is I4/mmm, No. 139. Its density of states at the Fermi level is 0.36 states/eV/atom. The uncorrected energy comes out at -3.161 eV/atom.

```
&SYSTEM
  ibrav = 0, nat = 5, ntyp = 3
/
ATOMIC_SPECIES
Pb 207.20 Pb.upf
Ga 69.72 Ga.upf
Ag 107.87 Ag.upf
ATOMIC_POSITIONS crystal
Pb 0.400 0.400 0.200
Pb 0.600 0.600 0.800
Ga 0.750 0.250 0.500
Ga 0.250 0.750 0.500
Ag 0.000 0.000 0.000
CELL_PARAMETERS angstrom
3.722 0.000 0.000
0.000 3.722 0.000
1.861 1.861 8.963
```



Record 5
The following is a DFT calculation (GGA-PBE) of an optimized crystal structure of Tl2HgPSe4. Values from VASP.

The space group is C2, No. 5. Its density of states at the Fermi level is 0.19 states/eV/atom. The uncorrected energy comes out at -3.220 eV/atom.

```
&SYSTEM
  ibrav = 0, nat = 8, ntyp = 4
/
ATOMIC_SPECIES
Tl 204.38 Tl.upf
Hg 200.59 Hg.upf
P 30.97 P.upf
Se 78.96 Se.upf
ATOMIC_POSITIONS crystal
Tl 0.533 0.033 0.065
Tl 0.306 0.306 0.612
Hg 0.965 0.466 0.932
P 0.741 0.741 0.482
Se 0.613 0.582 0.628
Se 0.837 0.437 0.214
Se 0.377 0.776 0.213
Se 0.015 0.046 0.628
CELL_PARAMETERS angstrom
6.954 0.522 -0.004
0.516 7.486 -0.005
-3.732 -4.000 4.720
```



Record 6
The following is a DFT calculation (GGA-PBE) of an optimized crystal structure of K3Zr3NpTe8. Values from VASP.

The space group is R-3m, No. 166. Its density of states at the Fermi level is 1.03 states/eV/atom. The uncorrected energy comes out at -5.403 eV/atom.

```
&SYSTEM
  ibrav = 0, nat = 15, ntyp = 4
/
ATOMIC_SPECIES
K 39.10 K.upf
Zr 91.22 Zr.upf
Np 237.00 Np.upf
Te 127.60 Te.upf
ATOMIC_POSITIONS crystal
K 0.000 0.000 0.000
K 0.000 0.500 0.000
K 0.500 0.500 0.000
Zr 0.500 0.000 0.500
Zr 0.500 0.500 0.500
Zr 0.000 0.500 0.500
Np 0.000 0.000 0.500
Te 0.266 0.531 0.297
Te 0.734 0.469 0.703
Te 0.756 0.512 0.292
Te 0.244 0.488 0.708
Te 0.756 0.036 0.292
Te 0.244 0.964 0.708
Te 0.281 0.036 0.292
Te 0.719 0.964 0.708
CELL_PARAMETERS angstrom
-5.055 6.644 0.743
-2.476 -6.678 -4.424
-0.071 -1.142 9.710
```



Record 7
The following is a DFT calculation (GGA-PBE) of an optimized crystal structure of ScCr3. Values from VASP.

The formation enthalpy at 0 K is 0.41 eV per atom. The space group is R-3m, No. 166. Its density of states at the Fermi level is 1.60 states/eV/atom. The uncorrected energy comes out at -8.392 eV/atom.

```
&SYSTEM
  ibrav = 0, nat = 4, ntyp = 2
/
ATOMIC_SPECIES
Cr 52.00 Cr.upf
Sc 44.96 Sc.upf
ATOMIC_POSITIONS crystal
Cr 0.000 0.000 0.000
Cr 0.500 0.000 0.500
Cr 0.500 0.500 0.000
Sc 0.000 0.500 0.500
CELL_PARAMETERS angstrom
-2.420 -0.481 -0.831
0.989 -1.934 -4.479
-1.523 -3.152 3.539
```



Record 8
The following is a DFT calculation (GGA-PBE) of an optimized crystal structure of LiTcAgC2. Values from VASP.

The formation enthalpy at 0 K is 2.46 eV per atom. The space group is P4/mmm, No. 123. Its density of states at the Fermi level is 1.27 states/eV/atom. The uncorrected energy comes out at -4.256 eV/atom.

```
&SYSTEM
  ibrav = 0, nat = 5, ntyp = 4
/
ATOMIC_SPECIES
C 12.01 C.upf
Tc 98.00 Tc.upf
Ag 107.87 Ag.upf
Li 6.94 Li.upf
ATOMIC_POSITIONS crystal
C 0.000 0.000 0.500
C 0.500 0.000 0.000
Tc 0.500 0.500 0.500
Ag 0.000 0.500 0.000
Li 0.000 0.000 0.000
CELL_PARAMETERS angstrom
-0.113 -0.788 -3.810
3.618 -1.413 0.185
-1.422 -3.540 0.774
```



Record 9
The following is a DFT calculation (GGA-PBE) of an optimized crystal structure of AcTb2MgTl4. Values from VASP.

The formation enthalpy at 0 K is -0.29 eV per atom. The space group is R-3m, No. 166. Its density of states at the Fermi level is 0.70 states/eV/atom. The uncorrected energy comes out at -3.339 eV/atom.

```
&SYSTEM
  ibrav = 0, nat = 8, ntyp = 4
/
ATOMIC_SPECIES
Ac 227.00 Ac.upf
Tb 158.93 Tb.upf
Mg 24.30 Mg.upf
Tl 204.38 Tl.upf
ATOMIC_POSITIONS crystal
Ac 0.000 0.000 0.000
Tb 0.766 0.766 0.702
Tb 0.234 0.234 0.298
Mg 0.500 0.500 0.500
Tl 0.390 0.390 0.830
Tl 0.873 0.873 0.380
Tl 0.127 0.127 0.620
Tl 0.610 0.610 0.170
CELL_PARAMETERS angstrom
-0.132 -4.402 -2.811
4.423 -2.593 -1.003
0.216 -7.641 7.099
```



Record 10
The following is a DFT calculation (GGA-PBE) of an optimized crystal structure of Nd2Y4Er2Tm. Values from VASP.

The formation enthalpy at 0 K is 0.00 eV per atom. The space group is C2/m, No. 12. Its density of states at the Fermi level is 1.40 states/eV/atom. The uncorrected energy comes out at -5.446 eV/atom.

```
&SYSTEM
  ibrav = 0, nat = 9, ntyp = 4
/
ATOMIC_SPECIES
Nd 144.24 Nd.upf
Y 88.91 Y.upf
Er 167.26 Er.upf
Tm 168.93 Tm.upf
ATOMIC_POSITIONS crystal
Nd 0.335 0.670 0.004
Nd 0.665 0.330 0.996
Y 0.814 0.629 0.665
Y 0.186 0.371 0.335
Y 0.519 0.039 0.336
Y 0.481 0.961 0.664
Er 0.852 0.705 0.337
Er 0.148 0.295 0.663
Tm 0.000 0.000 0.000
CELL_PARAMETERS angstrom
3.605 0.000 0.000
-1.803 9.331 -0.477
0.000 -3.707 8.825
```



Record 11
The following is a DFT calculation (GGA-PBE) of an optimized crystal structure of TlSnH3. Values from VASP.

The calculation puts the energy above the most stable polymorph in this dataset at 338 meV/atom. The space group is Pm-3m, No. 221. Its density of states at the Fermi level is 0.43 states/eV/atom. The uncorrected energy comes out at -2.568 eV/atom.

```
&SYSTEM
  ibrav = 0, nat = 5, ntyp = 3
/
ATOMIC_SPECIES
H 1.01 H.upf
Tl 204.38 Tl.upf
Sn 118.71 Sn.upf
ATOMIC_POSITIONS crystal
H 0.000 0.500 0.000
H 0.000 0.000 0.500
H 0.500 0.000 0.000
Tl 0.000 0.000 0.000
Sn 0.500 0.500 0.500
CELL_PARAMETERS angstrom
-1.082 0.747 -3.973
-4.038 -0.401 1.024
-0.197 4.098 0.825
```



Record 12
The following is a DFT calculation (GGA-PBE) of an optimized crystal structure of SrCaP. Values from VASP.

The formation enthalpy at 0 K is -0.67 eV per atom. The space group is I4mm, No. 107. Its density of states at the Fermi level is 1.05 states/eV/atom. The uncorrected energy comes out at -3.702 eV/atom.

```
&SYSTEM
  ibrav = 0, nat = 3, ntyp = 3
/
ATOMIC_SPECIES
Ca 40.08 Ca.upf
P 30.97 P.upf
Sr 87.62 Sr.upf
ATOMIC_POSITIONS crystal
Ca 0.942 0.942 0.058
P 0.341 0.341 0.659
Sr 0.717 0.717 0.283
CELL_PARAMETERS angstrom
7.381 0.008 -0.008
6.426 3.632 0.014
0.956 0.230 3.617
```



Number 1: magnetization 0.00 μB/f.u.. Number 2: magnetization 0.00 μB/f.u.. Number 3: magnetization 0.00 μB/f.u.. Number 4: magnetization 0.00 μB/f.u.. Number 5: magnetization 0.00 μB/f.u.. Number 6: magnetization 4.42 μB/f.u.. Number 7: magnetization 0.00 μB/f.u.. Number 8: magnetization 0.00 μB/f.u.. Number 9: magnetization 0.00 μB/f.u.. Number 10: magnetization 0.01 μB/f.u.. Number 11: magnetization 0.00 μB/f.u.. Number 12: magnetization 0.33 μB/f.u..